AlTcNi2 | PBE | optimized geometry

Computed properties:
ΔH_f (0 K): -0.17 eV/atom
E_tot: -26.35 eV per cell
Fermi-level density of states: 0.96 states/eV/atom
total magnetization: 1.652 μB/cell

Cell and atoms, written as POSCAR:
```
AlTcNi2
1.0
-1.8705 1.8705 3.6060
1.8705 -1.8705 3.6060
1.8705 1.8705 -3.6060
Al Tc Ni
1 1 2
Direct
0.0000 0.0000 0.0000
0.7500 0.2500 0.5000
0.2500 0.7500 0.5000
0.5000 0.5000 0.0000
```